1.
A geometry-optimized SmDy4Cd structure. Source: Alexandria via LeMat-Bulk, functional GGA-PBE.

abc: 6.060 6.060 11.739
angles: 75.44 75.44 60.28
Fractional coordinates of all 12 atoms:
Dy (0.836, 0.325, 0.498)
Dy (0.419, 0.250, 0.751)
Sm (0.000, 0.500, 0.000)
Dy (0.750, 0.581, 0.749)
Cd (0.079, 0.921, 0.750)
Dy (0.675, 0.164, 0.002)
Dy (0.164, 0.675, 0.502)
Cd (0.921, 0.079, 0.250)
Dy (0.581, 0.750, 0.249)
Dy (0.250, 0.419, 0.251)
Dy (0.325, 0.836, 0.998)
Sm (0.500, 0.000, 0.500)

Results
relative energy among the computed polymorphs = 0.064 eV/atom
DFT formation energy = -0.2 eV/f.u.

***

2.
A geometry-optimized Th6C5F structure. Source: Alexandria via LeMat-Bulk, functional GGA-PBE.

abc: 6.559 6.559 6.560
angles: 99.69 99.69 120.08
Fractional coordinates of all 12 atoms:
C (0.173, 0.827, 0.500)
Th (0.915, 0.570, 0.744)
Th (0.739, 0.739, 0.261)
C (0.335, 0.665, 0.000)
C (0.500, 0.500, 0.500)
Th (0.570, 0.915, 0.744)
Th (0.085, 0.430, 0.256)
Th (0.430, 0.085, 0.256)
C (0.665, 0.335, 0.000)
F (0.000, 0.000, 0.000)
C (0.827, 0.173, 0.500)
Th (0.261, 0.261, 0.739)

Results
energy relative to the elements, uncorrected = -0.72 eV/atom

***

3.
A geometry-optimized CePmPd14 structure. Source: Alexandria via LeMat-Bulk, functional GGA-PBE.

abc: 5.846 5.846 7.856
angles: 90.00 90.00 90.00
Fractional coordinates of all 16 atoms:
Pd (0.628, 0.628, 0.760)
Pd (0.628, 0.122, 0.240)
Pd (0.375, 0.375, 0.000)
Pd (0.122, 0.628, 0.760)
Pd (0.628, 0.628, 0.240)
Pd (0.875, 0.875, 0.000)
Pd (0.375, 0.875, 0.000)
Pd (0.122, 0.628, 0.240)
Ce (0.875, 0.875, 0.500)
Pd (0.875, 0.375, 0.500)
Pd (0.875, 0.375, 0.000)
Pd (0.375, 0.875, 0.500)
Pd (0.122, 0.122, 0.240)
Pd (0.122, 0.122, 0.760)
Pm (0.375, 0.375, 0.500)
Pd (0.628, 0.122, 0.760)

Results
DFT formation energy = -6.3 eV/f.u.

***

4.
A geometry-optimized LaErSn2 structure. Source: Alexandria via LeMat-Bulk, functional GGA-PBE.

abc: 4.525 4.986 4.986
angles: 90.00 90.00 90.00
Fractional coordinates of all 4 atoms:
Sn (0.000, 0.500, 0.000)
Er (0.500, 0.000, 0.000)
La (0.500, 0.500, 0.500)
Sn (0.000, 0.000, 0.500)

Results
DFT formation energy = -2.6 eV/f.u.

***

5.
A geometry-optimized Ga3Au4 structure. Source: Alexandria via LeMat-Bulk, functional GGA-PBE.

abc: 3.634 3.634 9.858
angles: 100.62 100.62 90.00
Fractional coordinates of all 7 atoms:
Au (0.846, 0.846, 0.692)
Ga (0.291, 0.291, 0.583)
Au (0.428, 0.428, 0.856)
Ga (0.709, 0.709, 0.417)
Ga (0.000, 0.000, 0.000)
Au (0.154, 0.154, 0.308)
Au (0.572, 0.572, 0.144)

Results
DFT formation energy = -1.2 eV/f.u.

***

6.
A geometry-optimized Li3ErPd2 structure. Source: Alexandria via LeMat-Bulk, functional GGA-PBE.

abc: 4.114 7.114 8.441
angles: 117.97 90.00 106.80
Fractional coordinates of all 12 atoms:
Li (0.277, 0.554, 0.444)
Li (0.582, 0.164, 0.693)
Pd (0.210, 0.420, 0.750)
Li (0.940, 0.879, 0.603)
Li (0.723, 0.446, 0.556)
Er (0.866, 0.732, 0.982)
Li (0.060, 0.121, 0.397)
Pd (0.790, 0.580, 0.250)
Li (0.418, 0.836, 0.307)
Er (0.134, 0.268, 0.018)
Pd (0.565, 0.129, 0.190)
Pd (0.435, 0.871, 0.810)

Results
DFT formation energy = -3.0 eV/f.u.

***

7.
A geometry-optimized AcHgBiO structure. Source: Alexandria via LeMat-Bulk, functional GGA-PBE.

abc: 4.505 4.505 10.715
angles: 90.00 90.00 90.00
Fractional coordinates of all 8 atoms:
O (0.000, 0.000, 0.000)
Hg (0.500, 0.000, 0.726)
O (0.500, 0.500, 0.000)
Ac (0.000, 0.500, 0.894)
Bi (0.500, 0.500, 0.500)
Hg (0.000, 0.500, 0.274)
Ac (0.500, 0.000, 0.106)
Bi (0.000, 0.000, 0.500)

Results
energy relative to the elements, uncorrected = -1.59 eV/atom

***

8.
A geometry-optimized Pm3In2Hg4 structure. Source: Alexandria via LeMat-Bulk, functional GGA-PBE.

abc: 4.966 6.177 9.404
angles: 114.44 90.00 113.70
Fractional coordinates of all 9 atoms:
Hg (0.086, 0.171, 0.420)
Hg (0.914, 0.829, 0.580)
Pm (0.000, 0.000, 0.000)
Pm (0.335, 0.670, 0.328)
Hg (0.305, 0.610, 0.974)
In (0.390, 0.780, 0.724)
In (0.610, 0.220, 0.276)
Hg (0.695, 0.390, 0.026)
Pm (0.665, 0.330, 0.672)

Results
DFT formation energy = -4.2 eV/f.u.

***

9.
A geometry-optimized Tb3TiTl4Se8 structure. Source: Alexandria via LeMat-Bulk, functional GGA-PBE.

abc: 8.218 9.106 8.217
angles: 116.82 120.00 90.00
Last column: magnetic moment on the atom in μB.
Fractional coordinates of all 16 atoms:
Se (0.223, 0.699, 0.976)  -0.01
Tl (0.000, 0.000, 0.000)  0.00
Se (0.736, 0.708, 0.472)  0.00
Se (0.247, 0.301, 0.024)  -0.01
Ti (0.000, 0.500, 0.000)  0.88
Se (0.264, 0.292, 0.528)  0.00
Se (0.777, 0.301, 0.553)  -0.01
Tl (0.500, 0.000, 0.500)  0.00
Tl (0.500, 0.000, 0.000)  0.00
Tb (0.000, 0.500, 0.500)  0.01
Tb (0.500, 0.500, 0.000)  0.01
Tb (0.500, 0.500, 0.500)  0.01
Se (0.223, 0.699, 0.447)  -0.01
Se (0.777, 0.301, 0.024)  -0.01
Se (0.753, 0.699, 0.976)  -0.01
Tl (0.000, 0.000, 0.500)  0.00

Results
energy relative to the elements, uncorrected = -1.22 eV/atom

***

10.
A geometry-optimized SrCrCl2 structure. Source: Alexandria via LeMat-Bulk, functional GGA-PBE.

abc: 5.272 5.272 5.272
angles: 60.00 60.00 60.00
Last column: magnetic moment on the atom in μB.
Fractional coordinates of all 4 atoms:
Cl (0.000, 0.000, 0.000)  0.06
Sr (0.750, 0.750, 0.750)  0.15
Cl (0.250, 0.250, 0.250)  0.10
Cr (0.500, 0.500, 0.500)  4.46

Results
relative energy among the computed polymorphs = 0.353 eV/atom
energy relative to the elements, uncorrected = -0.57 eV/atom

***

11.
A geometry-optimized Ge2Pb2Br structure. Source: Alexandria via LeMat-Bulk, functional GGA-PBE.

abc: 8.696 8.696 3.604
angles: 90.00 90.00 90.00
Fractional coordinates of all 10 atoms:
Pb (0.678, 0.822, 0.500)
Pb (0.322, 0.178, 0.500)
Ge (0.611, 0.111, 0.000)
Pb (0.822, 0.322, 0.500)
Pb (0.178, 0.678, 0.500)
Ge (0.111, 0.389, 0.000)
Br (0.000, 0.000, 0.000)
Br (0.500, 0.500, 0.000)
Ge (0.889, 0.611, 0.000)
Ge (0.389, 0.889, 0.000)

Results
relative energy among the computed polymorphs = 0.232 eV/atom
energy relative to the elements, uncorrected = 0.10 eV/atom

***

12.
A geometry-optimized V3FeC structure. Source: Alexandria via LeMat-Bulk, functional GGA-PBE.

abc: 3.981 5.240 5.615
angles: 90.00 90.00 90.00
Fractional coordinates of all 10 atoms:
V (0.000, 0.267, 0.013)
C (0.000, 0.007, 0.750)
V (0.500, 0.064, 0.750)
Fe (0.500, 0.505, 0.750)
V (0.000, 0.267, 0.487)
C (0.000, 0.993, 0.250)
V (0.000, 0.733, 0.987)
V (0.000, 0.733, 0.513)
V (0.500, 0.936, 0.250)
Fe (0.500, 0.495, 0.250)

Results
relative energy among the computed polymorphs = 0.007 eV/atom
DFT formation energy = -0.4 eV/f.u.

***

Computed calculated volume, in the same sequence as the records: 29.8, 19.2, 16.8, 28.1, 18.0, 17.2, 27.2, 26.2, 28.4, 25.9, 27.3, 11.7 Å³ per atom.